No. 1
Compound: HoZrScNb
Source: Alexandria via LeMat-Bulk
Functional: PBE-GGA
Structure: optimized geometry

a = 5.0620 Å, b = 5.0620 Å, c = 5.0620 Å
α = 60.00°, β = 60.00°, γ = 60.00°
Last column: nearest neighbours and their distance in Å.
Element x y z (fractional)
Sc  0.0000  0.0000  0.0000  4 Zr 3.10, 4 Ho 3.10
Nb  0.5000  0.5000  0.5000  4 Ho 3.10, 4 Zr 3.10
Ho  0.7500  0.7500  0.7500  4 Sc 3.10, 4 Nb 3.10
Zr  0.2500  0.2500  0.2500  4 Nb 3.10, 4 Sc 3.10

Results
The formation enthalpy at 0 K is 193.8 meV/atom.



No. 2
Compound: Ba2SrCu2
Source: Alexandria via LeMat-Bulk
Functional: PBE-GGA
Structure: optimized geometry

a = 5.8119 Å, b = 5.8119 Å, c = 7.2818 Å
α = 66.48°, β = 66.48°, γ = 90.00°
Last column: nearest neighbours and their distance in Å.
Element x y z (fractional)
Sr  0.0000  0.0000  0.0000  10 Ba 4.11-4.53, 8 Cu 4.18
Ba  0.3417  0.3417  0.3165  4 Cu 3.11
Ba  0.6583  0.6583  0.6835  4 Cu 3.11
Cu  0.7500  0.2500  0.5000  4 Ba 3.11
Cu  0.2500  0.7500  0.5000  4 Ba 3.11

Results
Its distance to the lowest polymorph of the same formula is 252 meV/atom. The formation enthalpy at 0 K is 249.1 meV/atom.



No. 3
Compound: AlCr2Rh2
Source: Alexandria via LeMat-Bulk
Functional: PBE-GGA
Structure: optimized geometry

a = 7.1577 Å, b = 7.1577 Å, c = 2.8000 Å
α = 90.00°, β = 90.00°, γ = 90.00°
Last column: nearest neighbours and their distance in Å.
Element x y z (fractional)
Cr  0.1666  0.6666  0.5000  6 Rh 2.47-2.57
Cr  0.6666  0.8334  0.5000  6 Rh 2.47-2.57
Cr  0.8334  0.3334  0.5000  6 Rh 2.47-2.57
Cr  0.3334  0.1666  0.5000  6 Rh 2.47-2.57
Rh  0.3682  0.8682  0.0000  6 Cr 2.47-2.57, 1 Rh 2.67
Rh  0.8682  0.6318  0.0000  6 Cr 2.47-2.57, 1 Rh 2.67
Rh  0.6318  0.1318  0.0000  6 Cr 2.47-2.57, 1 Rh 2.67
Rh  0.1318  0.3682  0.0000  6 Cr 2.47-2.57, 1 Rh 2.67
Al  0.0000  0.0000  0.0000  4 Rh 2.80, 2 Al 2.80, 8 Cr 3.01
Al  0.5000  0.5000  0.0000  4 Rh 2.80, 2 Al 2.80, 8 Cr 3.01

Results
The formation enthalpy at 0 K is -1.9 meV/atom.



No. 4
Compound: CeFeSi3Ni
Source: Alexandria via LeMat-Bulk
Functional: PBE-GGA
Structure: optimized geometry

a = 5.6962 Å, b = 6.0889 Å, c = 6.5371 Å
α = 117.76°, β = 90.00°, γ = 90.00°
Last column: nearest neighbours and their distance in Å.
Element x y z (fractional)
Ce  0.7500  0.2286  0.4573  4 Si 2.85-3.12, 1 Fe 2.98
Ce  0.2500  0.7714  0.5427  4 Si 2.85-3.12, 1 Fe 2.98
Fe  0.2500  0.0290  0.0580  5 Si 2.12-2.29
Fe  0.7500  0.9710  0.9420  5 Si 2.12-2.29
Si  0.2500  0.2124  0.4248  1 Ni 2.11, 1 Fe 2.12
Si  0.0000  0.2893  0.0000  2 Ni 2.27, 2 Fe 2.29
Si  0.5000  0.7107  0.0000  2 Ni 2.27, 2 Fe 2.29
Si  0.5000  0.2893  0.0000  2 Ni 2.27, 2 Fe 2.29
Si  0.0000  0.7107  0.0000  2 Ni 2.27, 2 Fe 2.29
Si  0.7500  0.7876  0.5752  1 Ni 2.11, 1 Fe 2.12
Ni  0.2500  0.3948  0.7896  5 Si 2.11-2.27
Ni  0.7500  0.6052  0.2104  5 Si 2.11-2.27

Results
For the calculated total energy, the calculation gives -6.4528 eV per atom.



No. 5
Compound: HfP
Source: Alexandria via LeMat-Bulk
Functional: PBE-GGA
Structure: optimized geometry

a = 4.4277 Å, b = 4.4277 Å, c = 5.1457 Å
α = 90.00°, β = 90.00°, γ = 120.00°
Last column: nearest neighbours and their distance in Å.
Element x y z (fractional)
Hf  0.3333  0.6667  0.7500  5 P 2.56-2.57
Hf  0.6667  0.3333  0.2500  5 P 2.56-2.57
P  0.3333  0.6667  0.2500  5 Hf 2.56-2.57
P  0.6667  0.3333  0.7500  5 Hf 2.56-2.57

Results
The formation enthalpy at 0 K is -968.5 meV/atom.



No. 6
Compound: Ta2HgMo
Source: Alexandria via LeMat-Bulk
Functional: PBE-GGA
Structure: optimized geometry

a = 4.9685 Å, b = 4.9685 Å, c = 4.9685 Å
α = 129.20°, β = 129.20°, γ = 74.68°
Last column: nearest neighbours and their distance in Å.
Element x y z (fractional)
Hg  0.2500  0.7500  0.5000  8 Ta 2.91, 4 Mo 3.01
Mo  0.7500  0.2500  0.5000  8 Ta 2.91, 4 Hg 3.01
Ta  0.0000  0.0000  0.0000  4 Mo 2.91, 4 Hg 2.91, 4 Ta 3.01
Ta  0.5000  0.5000  0.0000  4 Hg 2.91, 4 Mo 2.91, 4 Ta 3.01

Results
The formation enthalpy at 0 K is 280.5 meV/atom.



No. 7
Compound: DyHo12Er6
Source: Alexandria via LeMat-Bulk
Functional: PBE-GGA
Structure: optimized geometry

a = 8.4346 Å, b = 8.4346 Å, c = 8.4346 Å
α = 88.24°, β = 88.24°, γ = 88.24°
Last column: nearest neighbours and their distance in Å.
Element x y z (fractional)
Dy  0.0000  0.0000  0.0000  6 Er 3.43, 6 Ho 3.53
Ho  0.7746  0.5431  0.4352  3 Er 3.22-3.41, 6 Ho 3.25-3.53
Ho  0.4352  0.7746  0.5431  3 Er 3.22-3.41, 6 Ho 3.25-3.53
Ho  0.5431  0.4352  0.7746  3 Er 3.22-3.41, 6 Ho 3.25-3.53
Ho  0.2254  0.4569  0.5648  3 Er 3.22-3.41, 6 Ho 3.25-3.53
Ho  0.5648  0.2254  0.4569  3 Er 3.22-3.41, 6 Ho 3.25-3.53
Ho  0.4569  0.5648  0.2254  3 Er 3.22-3.41, 6 Ho 3.25-3.53
Ho  0.0103  0.2065  0.3568  4 Ho 3.39-3.53, 4 Er 3.47-3.64, 1 Dy 3.53
Ho  0.7935  0.6432  0.9897  4 Ho 3.39-3.53, 4 Er 3.47-3.64, 1 Dy 3.53
Ho  0.6432  0.9897  0.7935  4 Ho 3.39-3.53, 4 Er 3.47-3.64, 1 Dy 3.53
Ho  0.9897  0.7935  0.6432  4 Ho 3.39-3.53, 4 Er 3.47-3.64, 1 Dy 3.53
Ho  0.2065  0.3568  0.0103  4 Ho 3.39-3.53, 4 Er 3.47-3.64, 1 Dy 3.53
Ho  0.3568  0.0103  0.2065  4 Ho 3.39-3.53, 4 Er 3.47-3.64, 1 Dy 3.53
Er  0.7434  0.9071  0.3095  6 Ho 3.22-3.56, 1 Dy 3.43, 2 Er 3.44
Er  0.6905  0.2566  0.0929  6 Ho 3.22-3.56, 1 Dy 3.43, 2 Er 3.44
Er  0.0929  0.6905  0.2566  6 Ho 3.22-3.56, 1 Dy 3.43, 2 Er 3.44
Er  0.2566  0.0929  0.6905  6 Ho 3.22-3.56, 1 Dy 3.43, 2 Er 3.44
Er  0.3095  0.7434  0.9071  6 Ho 3.22-3.56, 1 Dy 3.43, 2 Er 3.44
Er  0.9071  0.3095  0.7434  6 Ho 3.22-3.56, 1 Dy 3.43, 2 Er 3.44

Results
Its distance to the lowest polymorph of the same formula is 0 meV/atom. The formation enthalpy at 0 K is 159.9 meV/atom.



No. 8
Compound: SrGeP2Se8
Source: Alexandria via LeMat-Bulk
Functional: PBE-GGA
Structure: optimized geometry

a = 6.3502 Å, b = 6.3502 Å, c = 9.1700 Å
α = 90.00°, β = 90.00°, γ = 120.00°
Last column: nearest neighbours and their distance in Å.
Element x y z (fractional)
Sr  0.0000  0.0000  0.0000  12 Se 3.44-3.67
Ge  0.0000  0.0000  0.5000  6 Se 2.62
P  0.6667  0.3333  0.2531  4 Se 2.18-2.27
P  0.3333  0.6667  0.7469  4 Se 2.18-2.27
Se  0.3333  0.6667  0.9844  1 P 2.18
Se  0.3065  0.3066  0.3095  1 P 2.27
Se  0.6934  0.9998  0.3095  1 P 2.27
Se  0.6667  0.3333  0.0156  1 P 2.18
Se  0.3066  0.0002  0.6905  1 P 2.27
Se  0.6935  0.6934  0.6905  1 P 2.27
Se  0.9998  0.3065  0.6905  1 P 2.27
Se  0.0002  0.6935  0.3095  1 P 2.27

Results
For the calculated total energy, the calculation gives -4.0941 eV per atom.



No. 9
Compound: Na3Hg5Pb2
Source: Alexandria via LeMat-Bulk
Functional: PBE-GGA
Structure: optimized geometry

a = 6.7062 Å, b = 9.1813 Å, c = 9.1814 Å
α = 108.65°, β = 92.17°, γ = 92.17°
Last column: nearest neighbours and their distance in Å.
Element x y z (fractional)
Na  0.6120  0.4917  0.7779  6 Hg 3.08-3.22, 1 Pb 3.40
Na  0.1120  0.7779  0.4917  6 Hg 3.08-3.22, 1 Pb 3.40
Na  0.3880  0.5083  0.2221  6 Hg 3.08-3.22, 1 Pb 3.40
Na  0.8880  0.2221  0.5083  6 Hg 3.08-3.22, 1 Pb 3.40
Na  0.2500  0.0430  0.9570  8 Hg 3.17-3.32
Na  0.7500  0.9570  0.0430  8 Hg 3.17-3.32
Hg  0.6233  0.2697  0.9681  4 Na 3.08-3.29, 3 Hg 3.15-3.33, 2 Pb 3.38-3.43
Hg  0.1233  0.9681  0.2697  4 Na 3.08-3.29, 3 Hg 3.15-3.33, 2 Pb 3.38-3.43
Hg  0.3767  0.7303  0.0319  4 Na 3.08-3.29, 3 Hg 3.15-3.33, 2 Pb 3.38-3.43
Hg  0.8767  0.0319  0.7303  4 Na 3.08-3.29, 3 Hg 3.15-3.33, 2 Pb 3.38-3.43
Hg  0.9926  0.7095  0.7982  4 Na 3.14-3.32, 4 Hg 3.25-3.33, 2 Pb 3.44-3.50
Hg  0.0074  0.2905  0.2018  4 Na 3.14-3.32, 4 Hg 3.25-3.33, 2 Pb 3.44-3.50
Hg  0.7500  0.5373  0.4627  4 Na 3.16-3.22, 6 Hg 3.31-3.53, 2 Pb 3.51
Hg  0.2500  0.4627  0.5373  4 Na 3.16-3.22, 6 Hg 3.31-3.53, 2 Pb 3.51
Hg  0.5074  0.2018  0.2905  4 Na 3.14-3.32, 4 Hg 3.25-3.33, 2 Pb 3.44-3.50
Hg  0.4926  0.7982  0.7095  4 Na 3.14-3.32, 4 Hg 3.25-3.33, 2 Pb 3.44-3.50
Pb  0.8688  0.6167  0.1259  2 Pb 3.23-3.27, 5 Hg 3.38-3.51, 4 Na 3.40-3.56
Pb  0.3689  0.1259  0.6168  2 Pb 3.23-3.27, 5 Hg 3.38-3.51, 4 Na 3.40-3.56
Pb  0.1312  0.3833  0.8741  2 Pb 3.23-3.27, 5 Hg 3.38-3.51, 4 Na 3.40-3.56
Pb  0.6311  0.8741  0.3832  2 Pb 3.23-3.27, 5 Hg 3.38-3.51, 4 Na 3.40-3.56

Results
The formation enthalpy at 0 K is -139.0 meV/atom.



No. 10
Compound: Sn2AsP
Source: Alexandria via LeMat-Bulk
Functional: PBE-GGA
Structure: optimized geometry

a = 6.9003 Å, b = 6.9003 Å, c = 6.7494 Å
α = 59.26°, β = 59.26°, γ = 90.00°
Last column: nearest neighbours and their distance in Å.
Element x y z (fractional)
P  0.5000  0.5000  0.0000  4 Sn 2.65
P  0.2500  0.7500  0.5000  4 Sn 2.65
As  0.0000  0.0000  0.0000  4 Sn 2.76
As  0.7500  0.2500  0.5000  4 Sn 2.76
Sn  0.6115  0.1250  0.2500  2 P 2.65, 2 As 2.76
Sn  0.1385  0.6250  0.2500  2 P 2.65, 2 As 2.76
Sn  0.3750  0.3885  0.7500  2 P 2.65, 2 As 2.76
Sn  0.8750  0.8615  0.7500  2 P 2.65, 2 As 2.76

Results
Its distance to the lowest polymorph of the same formula is 160 meV/atom. The formation enthalpy at 0 K is 134.0 meV/atom.



No. 11
Compound: La5Mg4Cu
Source: Alexandria via LeMat-Bulk
Functional: PBE-GGA
Structure: optimized geometry

a = 3.8858 Å, b = 3.8858 Å, c = 19.6301 Å
α = 90.00°, β = 90.00°, γ = 90.00°
Last column: nearest neighbours and their distance in Å.
Element x y z (fractional)
La  0.5000  0.5000  0.0845  4 Cu 3.21, 1 La 3.32, 4 Mg 3.46
La  0.5000  0.5000  0.2938  8 Mg 3.40-3.41
La  0.5000  0.5000  0.5000  8 Mg 3.42
La  0.5000  0.5000  0.7062  8 Mg 3.40-3.41
La  0.5000  0.5000  0.9155  4 Cu 3.21, 1 La 3.32, 4 Mg 3.46
Mg  0.0000  0.0000  0.1915  8 La 3.40-3.46, 1 Cu 3.76
Mg  0.0000  0.0000  0.3964  8 La 3.41-3.42
Mg  0.0000  0.0000  0.6036  8 La 3.41-3.42
Mg  0.0000  0.0000  0.8085  8 La 3.40-3.46, 1 Cu 3.76
Cu  0.0000  0.0000  0.0000  8 La 3.21

Results
The formation enthalpy at 0 K is -111.4 meV/atom.



No. 12
Compound: SmEr4Ag4
Source: Alexandria via LeMat-Bulk
Functional: PBE-GGA
Structure: optimized geometry

a = 5.9224 Å, b = 9.3342 Å, c = 9.3342 Å
α = 90.00°, β = 90.00°, γ = 90.00°
Last column: nearest neighbours and their distance in Å.
Element x y z (fractional)
Sm  0.0000  0.0000  0.0000  4 Ag 3.00
Sm  0.5000  0.5000  0.5000  4 Ag 3.00
Er  0.4011  0.3320  0.9042  5 Ag 2.93-3.04
Er  0.9011  0.5958  0.8320  5 Ag 2.93-3.04
Er  0.4011  0.6680  0.0958  5 Ag 2.93-3.04
Er  0.0989  0.1680  0.5958  5 Ag 2.93-3.04
Er  0.5989  0.9042  0.6680  5 Ag 2.93-3.04
Er  0.0989  0.8320  0.4042  5 Ag 2.93-3.04
Er  0.9011  0.4042  0.1680  5 Ag 2.93-3.04
Er  0.5989  0.0958  0.3320  5 Ag 2.93-3.04
Ag  0.6033  0.7841  0.3658  1 Ag 2.85, 5 Er 2.93-3.04, 1 Sm 3.00
Ag  0.6033  0.2159  0.6342  1 Ag 2.85, 5 Er 2.93-3.04, 1 Sm 3.00
Ag  0.1033  0.8658  0.7159  1 Ag 2.85, 5 Er 2.93-3.04, 1 Sm 3.00
Ag  0.8967  0.2841  0.8658  1 Ag 2.85, 5 Er 2.93-3.04, 1 Sm 3.00
Ag  0.8967  0.7159  0.1342  1 Ag 2.85, 5 Er 2.93-3.04, 1 Sm 3.00
Ag  0.3967  0.3658  0.2159  1 Ag 2.85, 5 Er 2.93-3.04, 1 Sm 3.00
Ag  0.3967  0.6342  0.7841  1 Ag 2.85, 5 Er 2.93-3.04, 1 Sm 3.00
Ag  0.1033  0.1342  0.2841  1 Ag 2.85, 5 Er 2.93-3.04, 1 Sm 3.00

Results
The formation enthalpy at 0 K is -29.9 meV/atom.



No. 13
Compound: LiAlO2F
Source: Alexandria via LeMat-Bulk
Functional: PBE-GGA
Structure: optimized geometry

a = 3.4336 Å, b = 4.5954 Å, c = 3.4336 Å
α = 90.00°, β = 90.00°, γ = 90.00°
Last column: nearest neighbours and their distance in Å.
Element x y z (fractional)
Li  0.0000  0.0000  0.0000  4 O 1.72
Al  0.0000  0.5000  0.0000  2 Li 2.30, 4 F 2.43
O  0.0000  0.0000  0.5000  2 Li 1.72
O  0.5000  0.0000  0.0000  2 Li 1.72
F  0.5000  0.5000  0.5000  4 Al 2.43

Results
For the calculated total energy, the calculation gives -3.8689 eV per atom.



Values of Fermi-level density of states, in order: 1.249, 0.950, 0.808, 1.082, 0.577, 0.797, 1.723, 0.233, 0.437, 0.493, 1.070, 1.356, 0.329, all in states/eV/atom.